# 1
# MnTeMo2 | Alexandria | GGA-PBE | relaxed
data_MnTeMo2
_cell_length_a 4.9353
_cell_length_b 4.9353
_cell_length_c 4.4915
_cell_angle_alpha 102.06
_cell_angle_beta 102.06
_cell_angle_gamma 38.71
_space_group_name_H-M_alt 'P 1'
_space_group_IT_number 1
_space_group_name_Hall 'P 1'
loop_
_atom_site_label
_atom_site_fract_x
_atom_site_fract_y
_atom_site_fract_z
Mn1 0.0000 0.0000 0.0000
Te1 0.5000 0.5000 0.5000
Mo1 0.2536 0.2536 0.7771
Mo2 0.7464 0.7464 0.2229
# * density: 9.3 g/cm³
# * crystal system: monoclinic
# * raw formation energy: 0.36 eV/atom

# 2
# MnTeMo2 | Alexandria | GGA-PBE | relaxed
data_MnTeMo2
_cell_length_a 3.2317
_cell_length_b 4.3530
_cell_length_c 4.4985
_cell_angle_alpha 90.00
_cell_angle_beta 90.00
_cell_angle_gamma 90.00
_space_group_name_H-M_alt 'P 1'
_space_group_IT_number 1
_space_group_name_Hall 'P 1'
loop_
_atom_site_label
_atom_site_fract_x
_atom_site_fract_y
_atom_site_fract_z
Mn1 0.0000 0.0000 0.0000
Te1 0.5000 0.5000 0.0000
Mo1 0.0000 0.5000 0.5000
Mo2 0.5000 0.0000 0.5000
# * density: 9.8 g/cm³
# * crystal system: orthorhombic
# * raw formation energy: 0.45 eV/atom

# 3
# MnTeMo2 | Alexandria | GGA-PBE | relaxed
data_MnTeMo2
_cell_length_a 4.9759
_cell_length_b 4.9759
_cell_length_c 4.5820
_cell_angle_alpha 109.14
_cell_angle_beta 109.14
_cell_angle_gamma 37.91
_space_group_name_H-M_alt 'P 1'
_space_group_IT_number 1
_space_group_name_Hall 'P 1'
loop_
_atom_site_label
_atom_site_fract_x
_atom_site_fract_y
_atom_site_fract_z
Mn1 0.0000 0.0000 0.0000
Te1 0.2524 0.2524 0.6761
Mo1 0.4973 0.4973 0.4687
Mo2 0.7317 0.7317 0.1445
# * density: 9.5 g/cm³
# * crystal system: monoclinic
# * raw formation energy: 0.35 eV/atom

# 4
# MnTeMo | Alexandria | GGA-PBE | relaxed
data_MnTeMo
_cell_length_a 12.1696
_cell_length_b 3.2781
_cell_length_c 3.2781
_cell_angle_alpha 60.00
_cell_angle_beta 90.00
_cell_angle_gamma 90.00
_space_group_name_H-M_alt 'P 1'
_space_group_IT_number 1
_space_group_name_Hall 'P 1'
loop_
_atom_site_label
_atom_site_fract_x
_atom_site_fract_y
_atom_site_fract_z
Mn1 0.1483 0.0000 0.0000
Mn2 0.8517 0.0000 0.0000
Te1 0.3373 0.6657 0.6657
Te2 0.6627 0.6657 0.6657
Mo1 0.0000 0.3334 0.3334
Mo2 0.5000 0.3323 0.3323
# * density: 8.2 g/cm³
# * offset from the most stable computed form: 0.81 eV per formula unit
# * crystal system: orthorhombic
# * raw formation energy: 0.44 eV/atom

# 5
# MnTeMo2 | Alexandria | GGA-PBE | relaxed
data_MnTeMo2
_cell_length_a 3.1413
_cell_length_b 3.1413
_cell_length_c 6.6045
_cell_angle_alpha 90.00
_cell_angle_beta 90.00
_cell_angle_gamma 90.00
_space_group_name_H-M_alt 'P 1'
_space_group_IT_number 1
_space_group_name_Hall 'P 1'
loop_
_atom_site_label
_atom_site_fract_x
_atom_site_fract_y
_atom_site_fract_z
Mn1 0.0000 0.0000 0.0000
Te1 0.0000 0.0000 0.5000
Mo1 0.5000 0.5000 0.2316
Mo2 0.5000 0.5000 0.7684
# * density: 9.5 g/cm³
# * crystal system: tetragonal
# * raw formation energy: 0.39 eV/atom

# 6
# MnTeMo | Alexandria | GGA-PBE | relaxed
data_MnTeMo
_cell_length_a 4.1814
_cell_length_b 4.1814
_cell_length_c 4.1814
_cell_angle_alpha 60.00
_cell_angle_beta 60.00
_cell_angle_gamma 60.00
_space_group_name_H-M_alt 'P 1'
_space_group_IT_number 1
_space_group_name_Hall 'P 1'
loop_
_atom_site_label
_atom_site_fract_x
_atom_site_fract_y
_atom_site_fract_z
Mn1 0.0000 0.0000 0.0000
Te1 0.2500 0.2500 0.2500
Mo1 0.7500 0.7500 0.7500
# * density: 8.9 g/cm³
# * offset from the most stable computed form: 0.00 eV per formula unit
# * crystal system: cubic
# * raw formation energy: 0.17 eV/atom

# 7
# MnTeMo2 | Alexandria | GGA-PBE | relaxed
data_MnTeMo2
_cell_length_a 8.4809
_cell_length_b 8.4809
_cell_length_c 8.4809
_cell_angle_alpha 21.42
_cell_angle_beta 21.42
_cell_angle_gamma 21.42
_space_group_name_H-M_alt 'P 1'
_space_group_IT_number 1
_space_group_name_Hall 'P 1'
loop_
_atom_site_label
_atom_site_fract_x
_atom_site_fract_y
_atom_site_fract_z
Mn1 0.0000 0.0000 0.0000
Te1 0.2456 0.2456 0.2456
Mo1 0.4858 0.4858 0.4858
Mo2 0.7447 0.7447 0.7447
# * density: 8.7 g/cm³
# * crystal system: trigonal
# * raw formation energy: 0.45 eV/atom

# 8
# MnTeMo2 | Alexandria | GGA-PBE | relaxed
data_MnTeMo2
_cell_length_a 4.5134
_cell_length_b 4.5134
_cell_length_c 3.2054
_cell_angle_alpha 90.00
_cell_angle_beta 90.00
_cell_angle_gamma 90.00
_space_group_name_H-M_alt 'P 1'
_space_group_IT_number 1
_space_group_name_Hall 'P 1'
loop_
_atom_site_label
_atom_site_fract_x
_atom_site_fract_y
_atom_site_fract_z
Mn1 0.0000 0.0000 0.0000
Te1 0.5000 0.5000 0.0000
Mo1 0.0000 0.5000 0.5000
Mo2 0.5000 0.0000 0.5000
# * density: 9.5 g/cm³
# * crystal system: tetragonal
# * raw formation energy: 0.35 eV/atom

# 9
# ThMnMo | Alexandria | GGA-PBE | relaxed
data_ThMnMo
_cell_length_a 7.5634
_cell_length_b 7.5634
_cell_length_c 7.5634
_cell_angle_alpha 23.63
_cell_angle_beta 23.63
_cell_angle_gamma 23.63
_space_group_name_H-M_alt 'P 1'
_space_group_IT_number 1
_space_group_name_Hall 'P 1'
loop_
_atom_site_label
_atom_site_fract_x
_atom_site_fract_y
_atom_site_fract_z
Th1 0.0000 0.0000 0.0000
Mn1 0.8740 0.8740 0.8740
Mo1 0.1285 0.1285 0.1285
# * density: 10.4 g/cm³
# * crystal system: trigonal
# * E_tot: -8.295 eV/atom

# 10
# TiMn2Mo2 | Alexandria | GGA-PBE | relaxed
data_TiMn2Mo2
_cell_length_a 6.9556
_cell_length_b 6.9556
_cell_length_c 2.9511
_cell_angle_alpha 90.00
_cell_angle_beta 90.00
_cell_angle_gamma 90.00
_space_group_name_H-M_alt 'P 1'
_space_group_IT_number 1
_space_group_name_Hall 'P 1'
loop_
_atom_site_label
_atom_site_fract_x
_atom_site_fract_y
_atom_site_fract_z
Ti1 0.0000 0.0000 0.0000
Ti2 0.5000 0.5000 0.0000
Mn1 0.1356 0.3644 0.0000
Mn2 0.3644 0.8644 0.0000
Mn3 0.6356 0.1356 0.0000
Mn4 0.8644 0.6356 0.0000
Mo1 0.1677 0.6677 0.5000
Mo2 0.3323 0.1677 0.5000
Mo3 0.6677 0.8323 0.5000
Mo4 0.8323 0.3323 0.5000
# * density: 8.1 g/cm³
# * crystal system: tetragonal
# * E_tot: -9.392 eV/atom

# 11
# Ti2Mn2Mo | Alexandria | GGA-PBE | relaxed
data_Ti2Mn2Mo
_cell_length_a 6.7502
_cell_length_b 6.7502
_cell_length_c 3.1201
_cell_angle_alpha 90.00
_cell_angle_beta 90.00
_cell_angle_gamma 90.00
_space_group_name_H-M_alt 'P 1'
_space_group_IT_number 1
_space_group_name_Hall 'P 1'
loop_
_atom_site_label
_atom_site_fract_x
_atom_site_fract_y
_atom_site_fract_z
Ti1 0.1589 0.3411 0.0000
Ti2 0.3411 0.8411 0.0000
Ti3 0.6589 0.1589 0.0000
Ti4 0.8411 0.6589 0.0000
Mn1 0.1451 0.6451 0.5000
Mn2 0.3549 0.1451 0.5000
Mn3 0.6451 0.8549 0.5000
Mn4 0.8549 0.3549 0.5000
Mo1 0.0000 0.0000 0.5000
Mo2 0.5000 0.5000 0.5000
# * density: 7.0 g/cm³
# * crystal system: tetragonal
# * E_tot: -8.866 eV/atom

# 12
# Ti2MnMo | Alexandria | GGA-PBE | relaxed
data_Ti2MnMo
_cell_length_a 3.0404
_cell_length_b 3.0404
_cell_length_c 6.2929
_cell_angle_alpha 90.00
_cell_angle_beta 90.00
_cell_angle_gamma 90.00
_space_group_name_H-M_alt 'P 1'
_space_group_IT_number 1
_space_group_name_Hall 'P 1'
loop_
_atom_site_label
_atom_site_fract_x
_atom_site_fract_y
_atom_site_fract_z
Ti1 0.0000 0.0000 0.2305
Ti2 0.0000 0.0000 0.7695
Mn1 0.5000 0.5000 0.0000
Mo1 0.5000 0.5000 0.5000
# * density: 7.0 g/cm³
# * crystal system: tetragonal
# * E_tot: -9.072 eV/atom